Record 1
The following is a DFT calculation (PBE) of a relaxed structure of Ag5P.

The structure in POSCAR format:
```
Ag5P
1.0
2.907 0.000 0.000
0.000 2.907 0.000
0.000 0.000 12.450
Ag P
5 1
Direct
0.000 0.000 0.000 Ag
0.000 0.000 0.341 Ag
0.000 0.000 0.659 Ag
0.500 0.500 0.170 Ag
0.500 0.500 0.830 Ag
0.500 0.500 0.500 P
```

Summary:
Theoretical density ... 9.00 g cm⁻³
Total energy ... -3.12 eV/atom
DOS(E_F) ... 0.335 states/eV/atom


Record 2
The following is a DFT calculation (PBE) of a relaxed structure of SrTc4Te.

The structure in POSCAR format:
```
SrTc4Te
1.0
0.000 3.834 3.834
3.834 0.000 3.834
3.834 3.834 0.000
Sr Tc Te
1 4 1
Direct
0.000 0.000 0.000 Sr
0.130 0.623 0.623 Tc
0.623 0.130 0.623 Tc
0.623 0.623 0.130 Tc
0.623 0.623 0.623 Tc
0.250 0.250 0.250 Te
```

Summary:
Theoretical density ... 8.95 g cm⁻³
Formation energy from raw total energies ... 0.532 eV per atom
Total energy ... -7.18 eV/atom
DOS(E_F) ... 1.010 states/eV/atom


Record 3
The following is a DFT calculation (PBE) of a relaxed structure of Pr2AlZn7.

The structure in POSCAR format:
```
Pr2AlZn7
1.0
4.256 0.000 0.000
0.000 4.256 0.000
0.000 0.000 10.737
Pr Al Zn
2 1 7
Direct
0.000 0.500 0.248 Pr
0.500 0.000 0.752 Pr
0.000 0.000 0.500 Al
0.000 0.000 0.000 Zn
0.000 0.500 0.636 Zn
0.000 0.500 0.868 Zn
0.500 0.000 0.132 Zn
0.500 0.000 0.364 Zn
0.500 0.500 0.000 Zn
0.500 0.500 0.500 Zn
```

Summary:
Theoretical density ... 6.54 g cm⁻³
Total energy ... -2.56 eV/atom
DOS(E_F) ... 0.699 states/eV/atom


Record 4
The following is a DFT calculation (PBE) of a relaxed structure of HoNiOs.

The structure in POSCAR format:
```
HoNiOs
1.0
-2.544 2.591 3.802
2.544 -2.591 3.802
2.544 2.591 -3.802
Ho Ni Os
2 2 2
Direct
0.371 0.121 0.250 Ho
0.629 0.879 0.750 Ho
0.000 0.500 0.500 Ni
0.500 0.500 0.000 Ni
0.000 0.000 0.500 Os
0.000 0.500 0.000 Os
```

Summary:
Theoretical density ... 13.71 g cm⁻³
Total energy ... -7.59 eV/atom
DOS(E_F) ... 0.799 states/eV/atom


Record 5
The following is a DFT calculation (PBE) of a relaxed structure of TmScHgIr.

The structure in POSCAR format:
```
TmScHgIr
1.0
3.385 0.000 0.000
0.000 3.385 0.000
0.000 0.000 7.235
Tm Sc Hg Ir
1 1 1 1
Direct
0.000 0.000 0.000 Tm
0.000 0.000 0.561 Sc
0.500 0.500 0.297 Hg
0.500 0.500 0.765 Ir
```

Summary:
Theoretical density ... 12.15 g cm⁻³
Total energy ... -5.72 eV/atom
DOS(E_F) ... 0.702 states/eV/atom


Record 6
The following is a DFT calculation (PBE) of a relaxed structure of Li3AlAg6.

The structure in POSCAR format:
```
Li3AlAg6
1.0
7.797 0.000 0.000
0.000 4.549 0.000
-2.683 0.000 9.258
Li Al Ag
6 2 12
Direct
0.044 0.250 0.390 Li
0.142 0.750 0.201 Li
0.260 0.250 0.986 Li
0.740 0.750 0.014 Li
0.858 0.250 0.799 Li
0.956 0.750 0.610 Li
0.447 0.250 0.602 Al
0.553 0.750 0.398 Al
0.039 0.750 0.907 Ag
0.140 0.250 0.680 Ag
0.251 0.750 0.492 Ag
0.344 0.250 0.302 Ag
0.346 0.750 0.806 Ag
0.430 0.750 0.109 Ag
0.570 0.250 0.891 Ag
0.654 0.250 0.194 Ag
0.656 0.750 0.698 Ag
0.749 0.250 0.508 Ag
0.860 0.750 0.320 Ag
0.961 0.250 0.093 Ag
```

Summary:
Theoretical density ... 7.03 g cm⁻³
Total energy ... -2.81 eV/atom
DOS(E_F) ... 0.329 states/eV/atom


Record 7
The following is a DFT calculation (PBE) of a relaxed structure of KIn2O2.

The structure in POSCAR format:
```
KIn2O2
1.0
-2.276 2.276 6.055
2.276 -2.276 6.055
2.276 2.276 -6.055
K In O
1 2 2
Direct
0.000 0.000 0.000 K
0.250 0.750 0.500 In
0.750 0.250 0.500 In
0.314 0.314 0.000 O
0.686 0.686 0.000 O
```

Summary:
Theoretical density ... 3.98 g cm⁻³
Formation energy from raw total energies ... -0.627 eV per atom
Total energy ... -3.93 eV/atom
DOS(E_F) ... 0.297 states/eV/atom


Record 8
The following is a DFT calculation (PBE) of a relaxed structure of Er3TcI3.

The structure in POSCAR format:
```
Er3TcI3
1.0
3.562 2.057 11.402
-3.562 2.057 11.402
0.000 -4.113 11.402
Er Tc I
6 2 6
Direct
0.079 0.454 0.828 Er
0.172 0.921 0.546 Er
0.454 0.828 0.079 Er
0.546 0.172 0.921 Er
0.828 0.079 0.454 Er
0.921 0.546 0.172 Er
0.167 0.167 0.167 Tc
0.833 0.833 0.833 Tc
0.076 0.710 0.393 I
0.290 0.607 0.924 I
0.393 0.076 0.710 I
0.607 0.924 0.290 I
0.710 0.393 0.076 I
0.924 0.290 0.607 I
```

Summary:
Theoretical density ... 6.50 g cm⁻³
Formation energy from raw total energies ... -0.662 eV per atom
Total energy ... -4.76 eV/atom
DOS(E_F) ... 0.231 states/eV/atom


Record 9
The following is a DFT calculation (PBE) of a relaxed structure of Tb3Pr7Dy2.

The structure in POSCAR format:
```
Tb3Pr7Dy2
1.0
6.533 0.000 0.000
0.000 3.589 0.000
-1.798 0.000 17.657
Tb Pr Dy
3 7 2
Direct
0.000 0.000 0.000 Tb
0.044 0.500 0.660 Tb
0.956 0.500 0.340 Tb
0.224 0.500 0.168 Pr
0.243 0.000 0.507 Pr
0.275 0.000 0.828 Pr
0.500 0.500 0.000 Pr
0.725 0.000 0.172 Pr
0.757 0.000 0.493 Pr
0.776 0.500 0.832 Pr
0.441 0.000 0.330 Dy
0.559 0.000 0.670 Dy
```

Summary:
Theoretical density ... 7.17 g cm⁻³
Total energy ... -4.64 eV/atom
DOS(E_F) ... 1.471 states/eV/atom


Record 10
The following is a DFT calculation (PBE) of a relaxed structure of Tb8Mg2Pd.

The structure in POSCAR format:
```
Tb8Mg2Pd
1.0
8.759 -2.739 0.000
8.759 2.739 0.000
-2.471 0.000 6.624
Tb Mg Pd
8 2 1
Direct
0.016 0.016 0.274 Tb
0.194 0.194 0.759 Tb
0.350 0.350 0.565 Tb
0.402 0.402 0.078 Tb
0.598 0.598 0.922 Tb
0.650 0.650 0.435 Tb
0.806 0.806 0.241 Tb
0.984 0.984 0.726 Tb
0.184 0.184 0.194 Mg
0.816 0.816 0.806 Mg
0.500 0.500 0.500 Pd
```

Summary:
Theoretical density ... 7.45 g cm⁻³
Total energy ... -4.24 eV/atom
DOS(E_F) ... 1.002 states/eV/atom


Record 11
The following is a DFT calculation (PBE) of a relaxed structure of Sr2Te2Cl.

The structure in POSCAR format:
```
Sr2Te2Cl
1.0
8.548 0.000 0.000
0.000 8.548 0.000
0.000 0.000 4.640
Sr Te Cl
4 4 2
Direct
0.175 0.325 0.000 Sr
0.325 0.825 0.000 Sr
0.675 0.175 0.000 Sr
0.825 0.675 0.000 Sr
0.130 0.630 0.500 Te
0.370 0.130 0.500 Te
0.630 0.870 0.500 Te
0.870 0.370 0.500 Te
0.000 0.000 0.000 Cl
0.500 0.500 0.000 Cl
```

Summary:
Theoretical density ... 4.56 g cm⁻³
Formation energy from raw total energies ... -1.577 eV per atom
Total energy ... -3.88 eV/atom
DOS(E_F) ... 0.013 states/eV/atom


Record 12
The following is a DFT calculation (PBE) of a relaxed structure of Dy6Ho2Er3.

The structure in POSCAR format:
```
Dy6Ho2Er3
1.0
-2.340 2.340 16.460
2.340 -2.340 16.460
2.340 2.340 -16.460
Dy Ho Er
6 2 3
Direct
0.121 0.621 0.500 Dy
0.197 0.197 0.000 Dy
0.379 0.879 0.500 Dy
0.621 0.121 0.500 Dy
0.803 0.803 0.000 Dy
0.879 0.379 0.500 Dy
0.046 0.046 0.000 Ho
0.954 0.954 0.000 Ho
0.300 0.300 0.000 Er
0.500 0.500 0.000 Er
0.700 0.700 0.000 Er
```

Summary:
Theoretical density ... 8.32 g cm⁻³
Total energy ... -4.29 eV/atom
DOS(E_F) ... 1.487 states/eV/atom


Record 13
The following is a DFT calculation (PBE) of a relaxed structure of ZrSc2Mn.

The structure in POSCAR format:
```
ZrSc2Mn
1.0
-3.836 3.836 2.878
3.836 -3.836 2.878
3.836 3.836 -2.878
Zr Sc Mn
2 4 2
Direct
0.000 0.000 0.000 Zr
0.750 0.250 0.500 Zr
0.171 0.625 0.046 Sc
0.375 0.421 0.546 Sc
0.579 0.125 0.954 Sc
0.875 0.829 0.454 Sc
0.250 0.750 0.500 Mn
0.500 0.500 0.000 Mn
```

Summary:
Theoretical density ... 4.63 g cm⁻³
Total energy ... -7.20 eV/atom
DOS(E_F) ... 1.796 states/eV/atom


Record 14
The following is a DFT calculation (PBE) of a relaxed structure of K2Sn6Au3.

The structure in POSCAR format:
```
K2Sn6Au3
1.0
8.553 0.000 0.000
-4.277 7.407 0.000
0.000 0.000 4.927
K Sn Au
2 6 3
Direct
0.333 0.667 0.000 K
0.667 0.333 0.000 K
0.000 0.318 0.500 Sn
0.000 0.794 0.000 Sn
0.206 0.206 0.000 Sn
0.318 0.000 0.500 Sn
0.682 0.682 0.500 Sn
0.794 0.000 0.000 Sn
0.000 0.641 0.500 Au
0.359 0.359 0.500 Au
0.641 0.000 0.500 Au
```

Summary:
Theoretical density ... 7.35 g cm⁻³
Total energy ... -3.51 eV/atom
DOS(E_F) ... 0.433 states/eV/atom


Record 15
The following is a DFT calculation (PBE) of a relaxed structure of Nb2HgPbO.

The structure in POSCAR format:
```
Nb2HgPbO
1.0
5.398 0.000 0.000
0.000 5.398 0.000
0.000 0.000 4.243
Nb Hg Pb O
2 1 1 1
Direct
0.000 0.500 0.000 Nb
0.500 0.000 0.000 Nb
0.000 0.000 0.500 Hg
0.500 0.500 0.000 Pb
0.500 0.500 0.500 O
```

Summary:
Theoretical density ... 8.19 g cm⁻³
Formation energy from raw total energies ... 1.439 eV per atom
Total energy ... -4.38 eV/atom
DOS(E_F) ... 2.048 states/eV/atom


Record 16
The following is a DFT calculation (PBE) of a relaxed structure of ReS.

The structure in POSCAR format:
```
ReS
1.0
3.617 0.000 0.000
-1.809 3.133 0.000
0.000 0.000 6.363
Re S
2 2
Direct
0.333 0.667 0.000 Re
0.667 0.333 0.500 Re
0.333 0.667 0.637 S
0.667 0.333 0.137 S
```

Summary:
Theoretical density ... 10.05 g cm⁻³
Formation energy from raw total energies ... 0.417 eV per atom
Total energy ... -7.87 eV/atom
DOS(E_F) ... 0.839 states/eV/atom


Record 17
The following is a DFT calculation (PBE) of a relaxed structure of Np2Ge3Au5.

The structure in POSCAR format:
```
Np2Ge3Au5
1.0
2.280 -12.520 0.000
2.280 12.520 0.000
0.000 0.000 7.124
Np Ge Au
4 6 10
Direct
0.017 0.983 0.500 Np
0.326 0.674 0.471 Np
0.674 0.326 0.971 Np
0.983 0.017 0.000 Np
0.104 0.896 0.809 Ge
0.269 0.731 0.930 Ge
0.452 0.548 0.701 Ge
0.548 0.452 0.201 Ge
0.731 0.269 0.430 Ge
0.896 0.104 0.309 Ge
0.104 0.896 0.183 Au
0.194 0.806 0.636 Au
0.215 0.785 0.240 Au
0.377 0.623 0.967 Au
0.446 0.554 0.301 Au
0.554 0.446 0.801 Au
0.623 0.377 0.467 Au
0.785 0.215 0.740 Au
0.806 0.194 0.136 Au
0.896 0.104 0.683 Au
```

Summary:
Theoretical density ... 13.69 g cm⁻³
Total energy ... -5.76 eV/atom
DOS(E_F) ... 2.388 states/eV/atom


Record 18
The following is a DFT calculation (PBE) of a relaxed structure of PaBiSe2.

The structure in POSCAR format:
```
PaBiSe2
1.0
2.004 1.157 8.878
-2.004 1.157 8.878
0.000 -2.314 8.878
Pa Bi Se
1 1 2
Direct
0.000 0.000 0.000 Pa
0.856 0.856 0.856 Bi
0.396 0.396 0.396 Se
0.608 0.608 0.608 Se
```

Summary:
Theoretical density ... 8.04 g cm⁻³
Formation energy from raw total energies ... -0.702 eV per atom
Total energy ... -5.79 eV/atom
DOS(E_F) ... 0.702 states/eV/atom


Record 19
The following is a DFT calculation (PBE) of a relaxed structure of ZrHg2Pd2.

The structure in POSCAR format:
```
ZrHg2Pd2
1.0
7.920 0.000 0.000
0.000 7.920 0.000
0.000 0.000 3.085
Zr Hg Pd
2 4 4
Direct
0.000 0.000 0.000 Zr
0.500 0.500 0.000 Zr
0.127 0.373 0.000 Hg
0.373 0.873 0.000 Hg
0.627 0.127 0.000 Hg
0.873 0.627 0.000 Hg
0.174 0.674 0.500 Pd
0.326 0.174 0.500 Pd
0.674 0.826 0.500 Pd
0.826 0.326 0.500 Pd
```

Summary:
Theoretical density ... 12.10 g cm⁻³
Total energy ... -4.03 eV/atom
DOS(E_F) ... 0.790 states/eV/atom


Record 20
The following is a DFT calculation (PBE) of a relaxed structure of NaTmIn.

The structure in POSCAR format:
```
NaTmIn
1.0
-1.691 1.691 7.494
1.691 -1.691 7.494
1.691 1.691 -7.494
Na Tm In
1 1 1
Direct
0.000 0.000 0.000 Na
0.697 0.697 0.000 Tm
0.339 0.339 0.000 In
```

Summary:
Theoretical density ... 5.94 g cm⁻³
Total energy ... -2.87 eV/atom
DOS(E_F) ... 0.890 states/eV/atom


Record 21
The following is a DFT calculation (PBE) of a relaxed structure of Pt2WSe.

The structure in POSCAR format:
```
Pt2WSe
1.0
4.484 -1.432 0.000
4.484 1.432 0.000
-0.869 0.000 6.458
Pt W Se
2 1 1
Direct
0.000 0.000 0.000 Pt
0.741 0.741 0.206 Pt
0.266 0.266 0.864 W
0.652 0.652 0.557 Se
```

Summary:
Theoretical density ... 13.08 g cm⁻³
Formation energy from raw total energies ... 0.046 eV per atom
Total energy ... -7.08 eV/atom
DOS(E_F) ... 0.389 states/eV/atom


Record 22
The following is a DFT calculation (PBE) of a relaxed structure of OsI2Cl.

The structure in POSCAR format:
```
OsI2Cl
1.0
-3.729 3.729 4.651
3.729 -3.729 4.651
3.729 3.729 -4.651
Os I Cl
2 4 2
Direct
0.000 0.000 0.000 Os
0.750 0.250 0.500 Os
0.047 0.125 0.422 I
0.375 0.953 0.078 I
0.703 0.625 0.578 I
0.875 0.297 0.922 I
0.250 0.750 0.500 Cl
0.500 0.500 0.000 Cl
```

Summary:
Theoretical density ... 6.16 g cm⁻³
Formation energy from raw total energies ... 0.538 eV per atom
Total energy ... -3.51 eV/atom
DOS(E_F) ... 0.979 states/eV/atom


Record 23
The following is a DFT calculation (PBE) of a relaxed structure of BaTl2Pd6.

The structure in POSCAR format:
```
BaTl2Pd6
1.0
0.000 6.035 6.035
6.035 0.000 6.035
6.035 6.035 0.000
Ba Tl Pd
2 4 12
Direct
0.125 0.125 0.125 Ba
0.875 0.875 0.875 Ba
0.000 0.500 0.500 Tl
0.500 0.000 0.500 Tl
0.500 0.500 0.000 Tl
0.500 0.500 0.500 Tl
0.117 0.117 0.633 Pd
0.117 0.633 0.117 Pd
0.117 0.633 0.633 Pd
0.367 0.367 0.883 Pd
0.367 0.883 0.367 Pd
0.367 0.883 0.883 Pd
0.633 0.117 0.117 Pd
0.633 0.117 0.633 Pd
0.633 0.633 0.117 Pd
0.883 0.367 0.367 Pd
0.883 0.367 0.883 Pd
0.883 0.883 0.367 Pd
```

Summary:
Theoretical density ... 8.95 g cm⁻³
Total energy ... -4.12 eV/atom
DOS(E_F) ... 0.334 states/eV/atom